Tb2Mg2Al15 | PBE | optimized geometry

Output
For the total energy, the calculation gives -69.31 eV/cell. Its total moment is 0.00 μB/f.u. The calculation puts the volume at 374 Å³ per cell. For the energy of formation from the pure elements, the calculation gives -0.038 eV/atom. Its space-group type is R-3m, No. 166.

abc: 7.225 7.225 7.225
angles: 85.33 85.33 85.33
Positions (direct):
Tb1 0.885 0.885 0.885
Tb2 0.115 0.115 0.115
Mg1 0.632 0.632 0.632
Mg2 0.368 0.368 0.368
Al1 0.000 0.500 0.000
Al2 0.000 0.000 0.500
Al3 0.500 0.000 0.000
Al4 0.288 0.000 0.712
Al5 0.712 0.288 0.000
Al6 0.000 0.712 0.288
Al7 0.288 0.712 0.000
Al8 0.000 0.288 0.712
Al9 0.712 0.000 0.288
Al10 0.363 0.849 0.363
Al11 0.363 0.363 0.849
Al12 0.849 0.363 0.363
Al13 0.637 0.151 0.637
Al14 0.637 0.637 0.151
Al15 0.151 0.637 0.637